{
  "formula": "LaMgHg2",
  "functional": "PBE-GGA",
  "state": "optimized geometry",
  "space_group": "Cm (8)",
  "volume_a3_per_cell": 109.1,
  "formation_enthalpy_0k_mev_per_atom": -288,
  "lattice_angstrom": [[-4.284, 2.725, -2.294], [-5.049, 1.790, 1.530], [0.798, 5.173, 1.424]],
  "species": ["Hg", "Hg", "Mg", "La"],
  "frac_coords": [[0.996, 0.996, 0.047], [0.746, 0.746, 0.754], [0.263, 0.263, 0.170], [0.495, 0.495, 0.529]]
}